(1)
A relaxed structure of Rb2CoNiS4. Source: the Alexandria database, functional PBE-GGA.

a = 13.342 Å, b = 11.861 Å, c = 7.193 Å
α = 85.15°, β = 62.36°, γ = 32.49°
Atoms (fractional coordinates):
Rb (0.054, 0.054, 0.696)
Rb (0.304, 0.304, 0.946)
Rb (0.696, 0.696, 0.054)
Rb (0.946, 0.946, 0.304)
Co (0.375, 0.375, 0.375)
Co (0.625, 0.625, 0.625)
Ni (0.125, 0.125, 0.125)
Ni (0.875, 0.875, 0.875)
S (0.008, 0.345, 0.421)
S (0.274, 0.579, 0.655)
S (0.345, 0.008, 0.726)
S (0.421, 0.726, 0.008)
S (0.579, 0.274, 0.992)
S (0.655, 0.992, 0.274)
S (0.726, 0.421, 0.345)
S (0.992, 0.655, 0.579)

## Properties
For the total energy, the calculation gives -4.565 eV per atom. Its space group is Fddd.



(2)
A relaxed structure of Co6ReNi23. Source: the Alexandria database, functional PBE-GGA.

a = 7.854 Å, b = 7.854 Å, c = 7.854 Å
α = 60.00°, β = 60.00°, γ = 60.00°
Atoms (fractional coordinates):
Co (0.245, 0.245, 0.755)
Co (0.245, 0.755, 0.245)
Co (0.245, 0.755, 0.755)
Co (0.755, 0.245, 0.245)
Co (0.755, 0.245, 0.755)
Co (0.755, 0.755, 0.245)
Re (0.000, 0.000, 0.000)
Ni (0.000, 0.000, 0.500)
Ni (0.000, 0.500, 0.000)
Ni (0.000, 0.500, 0.500)
Ni (0.117, 0.628, 0.628)
Ni (0.135, 0.135, 0.135)
Ni (0.135, 0.135, 0.595)
Ni (0.135, 0.595, 0.135)
Ni (0.372, 0.372, 0.372)
Ni (0.372, 0.372, 0.883)
Ni (0.372, 0.883, 0.372)
Ni (0.405, 0.865, 0.865)
Ni (0.500, 0.000, 0.000)
Ni (0.500, 0.000, 0.500)
Ni (0.500, 0.500, 0.000)
Ni (0.500, 0.500, 0.500)
Ni (0.595, 0.135, 0.135)
Ni (0.628, 0.117, 0.628)
Ni (0.628, 0.628, 0.117)
Ni (0.628, 0.628, 0.628)
Ni (0.865, 0.405, 0.865)
Ni (0.865, 0.865, 0.405)
Ni (0.865, 0.865, 0.865)
Ni (0.883, 0.372, 0.372)

## Properties
Its space group is Fm-3m. The formation energy comes out at 184.4 meV per atom.



(3)
A relaxed structure of Co8ReNi2. Source: the Alexandria database, functional PBE-GGA.

a = 6.110 Å, b = 6.110 Å, c = 6.508 Å
α = 121.72°, β = 121.72°, γ = 38.38°
Atoms (fractional coordinates):
Co (0.057, 0.057, 0.293)
Co (0.153, 0.153, 0.753)
Co (0.314, 0.314, 0.624)
Co (0.410, 0.410, 0.060)
Co (0.590, 0.590, 0.940)
Co (0.686, 0.686, 0.376)
Co (0.847, 0.847, 0.247)
Co (0.943, 0.943, 0.707)
Re (0.500, 0.500, 0.500)
Ni (0.223, 0.223, 0.180)
Ni (0.777, 0.777, 0.820)

## Properties
Its space group is C2/m. The formation energy comes out at 152.1 meV per atom.



(4)
A relaxed structure of CoReNi6. Source: the Alexandria database, functional PBE-GGA.

a = 3.537 Å, b = 7.171 Å, c = 7.125 Å
α = 90.00°, β = 90.00°, γ = 90.00°
Atoms (fractional coordinates):
Co (0.000, 0.000, 0.000)
Co (0.000, 0.500, 0.500)
Re (0.500, 0.000, 0.758)
Re (0.500, 0.500, 0.258)
Ni (0.000, 0.000, 0.504)
Ni (0.000, 0.249, 0.252)
Ni (0.000, 0.251, 0.752)
Ni (0.000, 0.500, 0.004)
Ni (0.000, 0.749, 0.752)
Ni (0.000, 0.751, 0.252)
Ni (0.500, 0.000, 0.251)
Ni (0.500, 0.249, 0.504)
Ni (0.500, 0.251, 0.004)
Ni (0.500, 0.500, 0.751)
Ni (0.500, 0.749, 0.004)
Ni (0.500, 0.751, 0.504)

## Properties
Its space group is Amm2. The formation energy comes out at 20.4 meV per atom.